No. 1
Material: Mn2CrBr
Method: DFT, PBE-GGA
State: optimized geometry

a = 5.858 Å, b = 5.858 Å, c = 5.858 Å
α = 90.00°, β = 90.00°, γ = 90.00°
Space group Fm-3m (No. 225)
Asymmetric unit:
Mn (0.250, 0.250, 0.250) [8 per cell]
Cr (0.000, 0.000, 0.000) [4 per cell]
Br (0.000, 0.000, 0.500) [4 per cell]

Properties
density: 8.0 g/cm³
magnetic moment: 0.00 μB/cell
energy relative to the elements, uncorrected: 1.049 eV/atom
excess energy over the best structure of this formula in the dataset: 2.96 eV/f.u.

***

No. 2
Material: MnCr2Br
Method: DFT, PBE-GGA
State: optimized geometry

a = 3.248 Å, b = 3.248 Å, c = 6.010 Å
α = 90.00°, β = 90.00°, γ = 90.00°
Space group P4/mmm (No. 123)
Asymmetric unit:
Mn (0.000, 0.000, 0.000) [1 per cell]
Cr (0.500, 0.500, 0.166) [2 per cell]
Br (0.000, 0.000, 0.500) [1 per cell]

Properties
density: 6.3 g/cm³
magnetic moment: 0.96 μB/cell
energy relative to the elements, uncorrected: 0.559 eV/atom
excess energy over the best structure of this formula in the dataset: 1.01 eV/f.u.

***

No. 3
Material: MnCrBr
Method: DFT, PBE-GGA
State: optimized geometry

a = 3.197 Å, b = 3.197 Å, c = 11.011 Å
α = 90.00°, β = 90.00°, γ = 90.00°
Space group I4mm (No. 107)
Asymmetric unit:
Mn (0.000, 0.000, 0.000) [2 per cell]
Cr (0.000, 0.000, 0.372) [2 per cell]
Br (0.000, 0.000, 0.693) [2 per cell]

Properties
density: 5.5 g/cm³
magnetic moment: 0.06 μB/cell
energy relative to the elements, uncorrected: 0.350 eV/atom
excess energy over the best structure of this formula in the dataset: 0.32 eV/f.u.

***

No. 4
Material: MnCrBr2
Method: DFT, PBE-GGA
State: optimized geometry

a = 6.194 Å, b = 6.194 Å, c = 6.194 Å
α = 90.00°, β = 90.00°, γ = 90.00°
Space group Fm-3m (No. 225)
Asymmetric unit:
Mn (0.000, 0.000, 0.000) [4 per cell]
Cr (0.000, 0.000, 0.500) [4 per cell]
Br (0.250, 0.250, 0.250) [8 per cell]

Properties
density: 7.5 g/cm³
magnetic moment: 0.01 μB/cell
energy relative to the elements, uncorrected: 1.055 eV/atom
excess energy over the best structure of this formula in the dataset: 4.11 eV/f.u.

***

| no. | E (eV/cell) |
| --- | --- |
| 1 | -101.8 |
| 2 | -27.9 |
| 3 | -38.8 |
| 4 | -71.7 |